{"formula": "LiPuAg2Cl8", "functional": "GGA-PBE", "state": "relaxed", "lattice_angstrom": [[-4.295, 4.295, 4.451], [4.295, -4.295, 4.451], [4.295, 4.295, -4.451]], "species": ["Li", "Pu", "Ag", "Ag", "Cl", "Cl", "Cl", "Cl", "Cl", "Cl", "Cl", "Cl"], "fractional_positions": [[0.000, 0.000, 0.000], [0.750, 0.250, 0.500], [0.250, 0.750, 0.500], [0.500, 0.500, 0.000], [0.028, 0.342, 0.314], [0.028, 0.713, 0.686], [0.097, 0.296, 0.801], [0.287, 0.972, 0.314], [0.495, 0.296, 0.199], [0.658, 0.972, 0.686], [0.704, 0.505, 0.801], [0.704, 0.903, 0.199]], "sg": "I-4m2, No. 119", "energy_ev_per_atom": -4.0959, "m_tot_mub_per_atom": 0.25, "formation_energy_uncorrected_ev_per_atom": -1.04}